#A
Density functional theory data (PBE) for crystalline Tb3ErRu2 at its relaxed geometry.

abc: 8.320 8.320 8.320
angles: 132.43 71.58 129.89
Element x y z (fractional)
Tb 0.016 0.750 0.266
Tb 0.250 0.250 0.000
Tb 0.484 0.750 0.734
Tb 0.516 0.250 0.266
Tb 0.750 0.750 0.000
Tb 0.984 0.250 0.734
Er 0.000 0.500 0.500
Er 0.500 0.000 0.500
Ru 0.134 0.222 0.356
Ru 0.366 0.722 0.088
Ru 0.634 0.278 0.912
Ru 0.866 0.778 0.644

=====

#B
Density functional theory data (PBE) for crystalline Tb3ErRu2 at its relaxed geometry.

abc: 6.784 6.784 6.345
angles: 90.00 90.00 90.09
Element x y z (fractional)
Tb 0.068 0.568 0.250
Tb 0.069 0.931 0.750
Tb 0.432 0.932 0.250
Tb 0.568 0.068 0.750
Tb 0.931 0.069 0.250
Tb 0.932 0.432 0.750
Er 0.433 0.567 0.750
Er 0.567 0.433 0.250
Ru 0.252 0.252 0.000
Ru 0.252 0.252 0.500
Ru 0.748 0.748 0.000
Ru 0.748 0.748 0.500

=====

Each structure's energy above the most stable one, in meV/atom: #A 98; #B 0.

=====

#A
Density functional theory data (PBE) for crystalline TbEr3Ru at its relaxed geometry.

abc: 7.190 7.190 7.996
angles: 123.57 123.57 72.03
Element x y z (fractional)
Tb 0.053 0.053 0.345
Tb 0.947 0.947 0.655
Er 0.054 0.448 0.206
Er 0.446 0.446 0.742
Er 0.448 0.054 0.206
Er 0.552 0.946 0.794
Er 0.554 0.554 0.258
Er 0.946 0.552 0.794
Ru 0.251 0.251 0.880
Ru 0.749 0.749 0.120

=====

#B
Density functional theory data (PBE) for crystalline TbEr3Ru at its relaxed geometry.

abc: 5.344 5.344 5.344
angles: 90.00 90.00 90.00
Element x y z (fractional)
Tb 0.000 0.000 0.000
Er 0.000 0.500 0.500
Er 0.500 0.000 0.500
Er 0.500 0.500 0.000
Ru 0.500 0.500 0.500

=====

Each structure's energy above the most stable one, in meV/atom: #A 0; #B 136.

=====

#A
Density functional theory data (PBE) for crystalline TbEr2Ru3 at its relaxed geometry.

abc: 4.781 4.781 5.870
angles: 90.00 90.00 120.00
Element x y z (fractional)
Tb 0.000 0.000 0.000
Er 0.333 0.667 0.665
Er 0.667 0.333 0.335
Ru 0.000 0.000 0.500
Ru 0.333 0.667 0.168
Ru 0.667 0.333 0.832

=====

#B
Density functional theory data (PBE) for crystalline TbEr2Ru3 at its relaxed geometry.

abc: 7.559 7.559 3.394
angles: 90.00 90.00 143.17
Element x y z (fractional)
Tb 0.000 0.000 0.000
Er 0.333 0.667 0.000
Er 0.667 0.333 0.000
Ru 0.168 0.832 0.500
Ru 0.500 0.500 0.500
Ru 0.832 0.168 0.500

=====

Each structure's energy above the most stable one, in meV/atom: #A 6; #B 0.

=====

#A
Density functional theory data (PBE) for crystalline TbEr2Ru at its relaxed geometry.

abc: 7.287 9.096 6.291
angles: 90.00 90.00 90.00
Element x y z (fractional)
Tb 0.040 0.250 0.131
Tb 0.460 0.750 0.631
Tb 0.540 0.250 0.369
Tb 0.960 0.750 0.869
Er 0.176 0.064 0.668
Er 0.176 0.436 0.668
Er 0.324 0.564 0.168
Er 0.324 0.936 0.168
Er 0.676 0.064 0.832
Er 0.676 0.436 0.832
Er 0.824 0.564 0.332
Er 0.824 0.936 0.332
Ru 0.115 0.750 0.458
Ru 0.385 0.250 0.958
Ru 0.615 0.750 0.042
Ru 0.885 0.250 0.542

=====

#B
Density functional theory data (PBE) for crystalline TbEr2Ru at its relaxed geometry.

abc: 6.250 6.250 9.037
angles: 90.00 90.00 143.73
Element x y z (fractional)
Tb 0.075 0.925 0.750
Tb 0.925 0.075 0.250
Er 0.356 0.644 0.567
Er 0.356 0.644 0.933
Er 0.644 0.356 0.067
Er 0.644 0.356 0.433
Ru 0.257 0.743 0.250
Ru 0.743 0.257 0.750

=====

#C
Density functional theory data (PBE) for crystalline TbEr2Ru at its relaxed geometry.

abc: 10.860 10.860 10.860
angles: 18.37 18.37 18.37
Element x y z (fractional)
Tb 0.000 0.000 0.000
Er 0.107 0.107 0.107
Er 0.893 0.893 0.893
Ru 0.500 0.500 0.500

=====

Each structure's energy above the most stable one, in meV/atom: #A 0; #B 18; #C 428.

=====

#A
Density functional theory data (PBE) for crystalline TbErZnRu at its relaxed geometry.

abc: 4.903 4.903 4.903
angles: 60.00 60.00 60.00
Element x y z (fractional)
Tb 0.000 0.000 0.000
Er 0.500 0.500 0.500
Zn 0.750 0.750 0.750
Ru 0.250 0.250 0.250

=====

#B
Density functional theory data (PBE) for crystalline TbErZnRu at its relaxed geometry.

abc: 3.437 3.437 7.219
angles: 90.00 90.00 90.00
Element x y z (fractional)
Tb 0.000 0.000 0.000
Er 0.000 0.000 0.459
Zn 0.500 0.500 0.723
Ru 0.500 0.500 0.234

=====

Each structure's energy above the most stable one, in meV/atom: #A 39; #B 0.

=====

#A
Density functional theory data (PBE) for crystalline Er8TcRu2 at its relaxed geometry.

abc: 8.930 8.930 6.845
angles: 107.50 107.50 31.23
Element x y z (fractional)
Er 0.030 0.030 0.295
Er 0.201 0.201 0.811
Er 0.332 0.332 0.537
Er 0.403 0.403 0.044
Er 0.597 0.597 0.956
Er 0.668 0.668 0.463
Er 0.799 0.799 0.189
Er 0.970 0.970 0.705
Tc 0.500 0.500 0.500
Ru 0.184 0.184 0.195
Ru 0.816 0.816 0.805

=====

#B
Density functional theory data (PBE) for crystalline Er8TcRu2 at its relaxed geometry.

abc: 7.495 7.495 5.693
angles: 100.12 100.12 112.81
Element x y z (fractional)
Er 0.000 0.000 0.000
Er 0.031 0.286 0.601
Er 0.147 0.582 0.189
Er 0.286 0.031 0.601
Er 0.432 0.688 0.788
Er 0.582 0.147 0.189
Er 0.688 0.432 0.788
Er 0.718 0.718 0.374
Tc 0.359 0.359 0.092
Ru 0.042 0.666 0.681
Ru 0.666 0.042 0.681

=====

Each structure's energy above the most stable one, in meV/atom: #A 0; #B 50.

=====

#A
Density functional theory data (PBE) for crystalline ErTcRu at its relaxed geometry.

abc: 6.300 5.271 5.186
angles: 74.08 53.57 52.35
Element x y z (fractional)
Er 0.166 0.834 0.166
Er 0.834 0.166 0.834
Tc 0.364 0.364 0.636
Tc 0.636 0.636 0.364
Ru 0.250 0.250 0.250
Ru 0.750 0.750 0.750

=====

#B
Density functional theory data (PBE) for crystalline ErTcRu at its relaxed geometry.

abc: 8.587 5.443 5.443
angles: 57.97 90.00 90.00
Element x y z (fractional)
Er 0.183 0.000 0.000
Er 0.312 0.669 0.669
Er 0.688 0.669 0.669
Er 0.817 0.000 0.000
Tc 0.249 0.341 0.341
Tc 0.500 0.158 0.674
Tc 0.500 0.674 0.158
Tc 0.751 0.341 0.341
Ru 0.000 0.500 0.500
Ru 0.000 0.503 0.984
Ru 0.000 0.984 0.503
Ru 0.500 0.157 0.157

=====

Each structure's energy above the most stable one, in meV/atom: #A 310; #B 0.

=====

#A
Density functional theory data (PBE) for crystalline Er2TeRu at its relaxed geometry.

abc: 7.621 7.621 7.621
angles: 30.77 30.77 30.77
Element x y z (fractional)
Er 0.237 0.237 0.237
Er 0.763 0.763 0.763
Te 0.000 0.000 0.000
Ru 0.500 0.500 0.500

=====

#B
Density functional theory data (PBE) for crystalline Er2TeRu at its relaxed geometry.

abc: 3.541 3.541 7.388
angles: 90.00 90.00 90.00
Element x y z (fractional)
Er 0.000 0.000 0.221
Er 0.000 0.000 0.779
Te 0.500 0.500 0.500
Ru 0.500 0.500 0.000

=====

Each structure's energy above the most stable one, in meV/atom: #A 85; #B 0.